No. 1
# La2NiTe | Alexandria via LeMat-Bulk | PBE | relaxed
# Crystal system = monoclinic
# Formation energy (no corrections) = -0.7483 eV per atom
# Calculated density = 7.1 g/cm3
# DOS at the Fermi energy = 4.08 states/eV/f.u.
# Total energy = -5.44 eV per atom
data_La2NiTe
_chemical_formula_sum 'La2 Ni1 Te1'
_cell_length_a 3.8718
_cell_length_b 3.7989
_cell_length_c 7.5237
_cell_angle_alpha 90.00
_cell_angle_beta 99.09
_cell_angle_gamma 90.00
_space_group_name_H-M_alt 'P 1 2/m 1'
_space_group_IT_number 10
loop_
_space_group_symop_operation_xyz
'x,y,z'
'-x,-y,-z'
'-x,y,-z'
'x,-y,z'
loop_
_atom_site_label
_atom_site_type_symbol
_atom_site_fract_x
_atom_site_fract_y
_atom_site_fract_z
_atom_site_occupancy
La1 La 0.0853 0.0000 0.2754 1
Ni1 Ni 0.5000 0.5000 0.5000 1
Te1 Te 0.5000 0.5000 0.0000 1

***

No. 2
# ZnCdRe2 | Alexandria via LeMat-Bulk | PBE | relaxed
# Crystal system = orthorhombic
# ΔH_f (0 K) = 313 meV/atom
# Calculated density = 13.9 g/cm3
# DOS at the Fermi energy = 1.50 states/eV/f.u.
# Total energy = -6.46 eV per atom
data_ZnCdRe2
_chemical_formula_sum 'Zn2 Cd2 Re4'
_cell_length_a 2.9376
_cell_length_b 4.6985
_cell_length_c 9.5026
_cell_angle_alpha 90.00
_cell_angle_beta 90.00
_cell_angle_gamma 90.00
_space_group_name_H-M_alt 'C m m 2'
_space_group_IT_number 35
loop_
_space_group_symop_operation_xyz
'x,y,z'
'-x,-y,z'
'-x,y,z'
'x,-y,z'
'x+1/2,y+1/2,z'
'-x+1/2,-y+1/2,z'
'-x+1/2,y+1/2,z'
'x+1/2,-y+1/2,z'
loop_
_atom_site_label
_atom_site_type_symbol
_atom_site_fract_x
_atom_site_fract_y
_atom_site_fract_z
_atom_site_occupancy
Zn1 Zn 0.0000 0.0000 0.0000 1
Cd1 Cd 0.0000 0.5000 0.2636 1
Re1 Re 0.0000 0.0000 0.5363 1
Re2 Re 0.0000 0.5000 0.7610 1

***

No. 3
# Mg3Ti4 | Alexandria via LeMat-Bulk | PBE | relaxed
# Crystal system = hexagonal
# ΔH_f (0 K) = 203 meV/atom
# Calculated density = 3.3 g/cm3
# DOS at the Fermi energy = 8.58 states/eV/f.u.
# Total energy = -4.99 eV per atom
data_Mg3Ti4
_chemical_formula_sum 'Mg6 Ti8'
_cell_length_a 7.9449
_cell_length_b 7.9449
_cell_length_c 4.8817
_cell_angle_alpha 90.00
_cell_angle_beta 90.00
_cell_angle_gamma 120.00
_space_group_name_H-M_alt 'P 63/m'
_space_group_IT_number 176
_space_group_name_Hall '-P 6c'
loop_
_atom_site_label
_atom_site_type_symbol
_atom_site_fract_x
_atom_site_fract_y
_atom_site_fract_z
_atom_site_occupancy
Mg1 Mg 0.0927 0.4708 0.2500 1
Ti1 Ti 0.0429 0.2256 0.7500 1
Ti2 Ti 0.3333 0.6667 0.7500 1

***

No. 4
# ZrSc2Al | Alexandria via LeMat-Bulk | PBE | relaxed
# Crystal system = tetragonal
# ΔH_f (0 K) = -217 meV/atom
# Calculated density = 4.0 g/cm3
# DOS at the Fermi energy = 4.12 states/eV/f.u.
# Total energy = -6.46 eV per atom
data_ZrSc2Al
_chemical_formula_sum 'Zr1 Sc2 Al1'
_cell_length_a 3.2019
_cell_length_b 3.2019
_cell_length_c 8.5203
_cell_angle_alpha 90.00
_cell_angle_beta 90.00
_cell_angle_gamma 90.00
_space_group_name_H-M_alt 'P 4 m m'
_space_group_IT_number 99
loop_
_space_group_symop_operation_xyz
'x,y,z'
'-y,x,z'
'-x,-y,z'
'y,-x,z'
'-x,y,z'
'y,x,z'
'x,-y,z'
'-y,-x,z'
loop_
_atom_site_label
_atom_site_type_symbol
_atom_site_fract_x
_atom_site_fract_y
_atom_site_fract_z
_atom_site_occupancy
Zr1 Zr 0.0000 0.0000 0.0000 1
Sc1 Sc 0.0000 0.0000 0.4510 1
Sc2 Sc 0.5000 0.5000 0.7398 1
Al1 Al 0.5000 0.5000 0.2283 1

***

No. 5
# GaPbAu2 | Alexandria via LeMat-Bulk | PBE | relaxed
# Crystal system = tetragonal
# ΔH_f (0 K) = -32 meV/atom
# Calculated density = 12.1 g/cm3
# DOS at the Fermi energy = 1.48 states/eV/f.u.
# Total energy = -3.35 eV per atom
data_GaPbAu2
_chemical_formula_sum 'Ga4 Pb4 Au8'
_cell_length_a 7.5360
_cell_length_b 7.5360
_cell_length_c 6.5006
_cell_angle_alpha 90.00
_cell_angle_beta 90.00
_cell_angle_gamma 90.00
_space_group_name_H-M_alt 'I -4 2 d'
_space_group_IT_number 122
_space_group_name_Hall 'I -4 2bw'
loop_
_atom_site_label
_atom_site_type_symbol
_atom_site_fract_x
_atom_site_fract_y
_atom_site_fract_z
_atom_site_occupancy
Ga1 Ga 0.0000 0.0000 0.0000 1
Pb1 Pb 0.0000 0.0000 0.5000 1
Au1 Au 0.2086 0.2500 0.1250 1

***

No. 6
# BIrRh2Pb | Alexandria via LeMat-Bulk | PBE | relaxed
# Crystal system = tetragonal
# ΔH_f (0 K) = -62 meV/atom
# Calculated density = 13.7 g/cm3
# DOS at the Fermi energy = 1.66 states/eV/f.u.
# Total energy = -6.85 eV per atom
data_BIrRh2Pb
_chemical_formula_sum 'B1 Ir1 Rh2 Pb1'
_cell_length_a 4.2296
_cell_length_b 4.2296
_cell_length_c 4.1812
_cell_angle_alpha 90.00
_cell_angle_beta 90.00
_cell_angle_gamma 90.00
_space_group_name_H-M_alt 'P 4/m m m'
_space_group_IT_number 123
_space_group_name_Hall '-P 4 2'
loop_
_atom_site_label
_atom_site_type_symbol
_atom_site_fract_x
_atom_site_fract_y
_atom_site_fract_z
_atom_site_occupancy
B1 B 0.0000 0.0000 0.0000 1
Ir1 Ir 0.0000 0.0000 0.5000 1
Rh1 Rh 0.0000 0.5000 0.0000 1
Pb1 Pb 0.5000 0.5000 0.5000 1

***

No. 7
# Ac2TmTe4 | Alexandria via LeMat-Bulk | PBE | relaxed
# Crystal system = monoclinic
# Formation energy (no corrections) = -1.4757 eV per atom
# Calculated density = 7.4 g/cm3
# DOS at the Fermi energy = 1.24 states/eV/f.u.
# Total energy = -5.08 eV per atom
data_Ac2TmTe4
_chemical_formula_sum 'Ac4 Tm2 Te8'
_cell_length_a 14.4926
_cell_length_b 4.4041
_cell_length_c 9.3062
_cell_angle_alpha 90.00
_cell_angle_beta 121.15
_cell_angle_gamma 90.00
_space_group_name_H-M_alt 'C 1 2/m 1'
_space_group_IT_number 12
loop_
_space_group_symop_operation_xyz
'x,y,z'
'-x,-y,-z'
'-x,y,-z'
'x,-y,z'
'x+1/2,y+1/2,z'
'-x+1/2,-y+1/2,-z'
'-x+1/2,y+1/2,-z'
'x+1/2,-y+1/2,z'
loop_
_atom_site_label
_atom_site_type_symbol
_atom_site_fract_x
_atom_site_fract_y
_atom_site_fract_z
_atom_site_occupancy
Ac1 Ac 0.1453 0.0000 0.1968 1
Tm1 Tm 0.0000 0.5000 0.5000 1
Te1 Te 0.0617 0.5000 0.8670 1
Te2 Te 0.1623 0.0000 0.5744 1

***

No. 8
# BaLa2Pd2 | Alexandria via LeMat-Bulk | PBE | relaxed
# Crystal system = tetragonal
# ΔH_f (0 K) = -404 meV/atom
# Calculated density = 5.9 g/cm3
# DOS at the Fermi energy = 4.98 states/eV/f.u.
# Total energy = -4.84 eV per atom
data_BaLa2Pd2
_chemical_formula_sum 'Ba2 La4 Pd4'
_cell_length_a 5.4679
_cell_length_b 5.4679
_cell_length_c 11.7326
_cell_angle_alpha 90.00
_cell_angle_beta 90.00
_cell_angle_gamma 90.00
_space_group_name_H-M_alt 'I 4/m m m'
_space_group_IT_number 139
_space_group_name_Hall '-I 4 2'
loop_
_atom_site_label
_atom_site_type_symbol
_atom_site_fract_x
_atom_site_fract_y
_atom_site_fract_z
_atom_site_occupancy
Ba1 Ba 0.0000 0.0000 0.0000 1
La1 La 0.0000 0.0000 0.3294 1
Pd1 Pd 0.0000 0.5000 0.2500 1

***

No. 9
# Pm3Pr2Nd9 | Alexandria via LeMat-Bulk | PBE | relaxed
# Crystal system = hexagonal
# ΔH_f (0 K) = 229 meV/atom
# Calculated density = 6.5 g/cm3
# DOS at the Fermi energy = 19.30 states/eV/f.u.
# Total energy = -4.54 eV per atom
data_Pm3Pr2Nd9
_chemical_formula_sum 'Pm6 Pr4 Nd18'
_cell_length_a 9.2613
_cell_length_b 9.2613
_cell_length_c 13.8781
_cell_angle_alpha 90.00
_cell_angle_beta 90.00
_cell_angle_gamma 120.00
_space_group_name_H-M_alt 'P 63/m'
_space_group_IT_number 176
_space_group_name_Hall '-P 6c'
loop_
_atom_site_label
_atom_site_type_symbol
_atom_site_fract_x
_atom_site_fract_y
_atom_site_fract_z
_atom_site_occupancy
Pm1 Pm 0.0804 0.2489 0.2500 1
Pr1 Pr 0.3333 0.6667 0.1387 1
Nd1 Nd 0.0824 0.4800 0.7500 1
Nd2 Nd 0.1280 0.7226 0.5409 1

***

No. 10
# SrZrOs | Alexandria via LeMat-Bulk | PBE | relaxed
# Crystal system = cubic
# ΔH_f (0 K) = 433 meV/atom
# Calculated density = 8.0 g/cm3
# DOS at the Fermi energy = 2.12 states/eV/f.u.
# Total energy = -6.72 eV per atom
data_SrZrOs
_chemical_formula_sum 'Sr4 Zr4 Os4'
_cell_length_a 6.7420
_cell_length_b 6.7420
_cell_length_c 6.7420
_cell_angle_alpha 90.00
_cell_angle_beta 90.00
_cell_angle_gamma 90.00
_space_group_name_H-M_alt 'F -4 3 m'
_space_group_IT_number 216
_space_group_name_Hall 'F -4 2 3'
loop_
_atom_site_label
_atom_site_type_symbol
_atom_site_fract_x
_atom_site_fract_y
_atom_site_fract_z
_atom_site_occupancy
Sr1 Sr 0.0000 0.0000 0.0000 1
Zr1 Zr 0.0000 0.0000 0.5000 1
Os1 Os 0.2500 0.2500 0.7500 1

***

No. 11
# CdHg3Pd4 | Alexandria via LeMat-Bulk | PBE | relaxed
# Crystal system = monoclinic
# ΔH_f (0 K) = -233 meV/atom
# Calculated density = 13.2 g/cm3
# DOS at the Fermi energy = 1.78 states/eV/f.u.
# Total energy = -3.06 eV per atom
data_CdHg3Pd4
_chemical_formula_sum 'Cd2 Hg6 Pd8'
_cell_length_a 15.8424
_cell_length_b 4.3325
_cell_length_c 4.3328
_cell_angle_alpha 90.00
_cell_angle_beta 105.67
_cell_angle_gamma 90.00
_space_group_name_H-M_alt 'C 1 2/m 1'
_space_group_IT_number 12
loop_
_space_group_symop_operation_xyz
'x,y,z'
'-x,-y,-z'
'-x,y,-z'
'x,-y,z'
'x+1/2,y+1/2,z'
'-x+1/2,-y+1/2,-z'
'-x+1/2,y+1/2,-z'
'x+1/2,-y+1/2,z'
loop_
_atom_site_label
_atom_site_type_symbol
_atom_site_fract_x
_atom_site_fract_y
_atom_site_fract_z
_atom_site_occupancy
Cd1 Cd 0.0000 0.0000 0.0000 1
Hg1 Hg 0.0000 0.5000 0.5000 1
Hg2 Hg 0.2499 0.0000 0.2500 1
Pd1 Pd 0.1239 0.0000 0.6240 1
Pd2 Pd 0.1239 0.5000 0.1240 1

***

No. 12
# Y4CuMo | Alexandria via LeMat-Bulk | PBE | relaxed
# Crystal system = cubic
# ΔH_f (0 K) = 1005 meV/atom
# Calculated density = 5.5 g/cm3
# DOS at the Fermi energy = 6.68 states/eV/f.u.
# Total energy = -5.79 eV per atom
data_Y4CuMo
_chemical_formula_sum 'Y16 Cu4 Mo4'
_cell_length_a 8.5522
_cell_length_b 8.5522
_cell_length_c 8.5522
_cell_angle_alpha 90.00
_cell_angle_beta 90.00
_cell_angle_gamma 90.00
_space_group_name_H-M_alt 'F -4 3 m'
_space_group_IT_number 216
_space_group_name_Hall 'F -4 2 3'
loop_
_atom_site_label
_atom_site_type_symbol
_atom_site_fract_x
_atom_site_fract_y
_atom_site_fract_z
_atom_site_occupancy
Y1 Y 0.1241 0.1241 0.3759 1
Cu1 Cu 0.0000 0.0000 0.0000 1
Mo1 Mo 0.2500 0.2500 0.7500 1

***

| no. | spin magnetization (μB per cell) |
| --- | --- |
| 1 | 0.00 |
| 2 | 0.00 |
| 3 | 6.20 |
| 4 | 0.00 |
| 5 | 0.00 |
| 6 | 0.00 |
| 7 | 0.00 |
| 8 | 0.00 |
| 9 | 0.00 |
| 10 | 0.00 |
| 11 | 0.00 |
| 12 | 3.53 |